Rb3BP: optimized geometry, PBE-GGA.

```
5
Lattice="-0.1100 -3.7119 -5.3577 4.3933 -4.0006 2.6814 -4.8148 -3.5655 2.5691" Properties=species:S:1:pos:R:3 pbc="T T T"
P 0.0000 0.0000 0.0000
B -0.2658 -5.6390 -0.0536
Rb 2.1967 -2.0003 1.3407
Rb -2.4074 -1.7828 1.2846
Rb -0.0550 -1.8560 -2.6789
```

- formation energy from the elements (meV/atom) = 997
- ΔE to the lowest computed polymorph (meV per atom) = 0
- final energy (eV/atom) = -2.0015



RbB2P2: optimized geometry, PBE-GGA.

```
5
Lattice="-2.8419 0.2325 -2.1391 2.0309 -0.8419 -2.8059 -0.9362 -6.4337 3.5249" Properties=species:S:1:pos:R:3 pbc="T T T"
Rb 0.0000 0.0000 0.0000
B 0.3447 -3.7902 -0.8768
P -0.8686 -2.6304 -2.1089
P -0.8787 -4.4127 0.6888
B -2.0919 -3.2530 -0.5434
```

- formation energy from the elements (meV/atom) = 170
- ΔE to the lowest computed polymorph (meV per atom) = 0
- final energy (eV/atom) = -4.8589



RbB2P2: optimized geometry, PBE-GGA.

```
10
Lattice="-5.3465 -3.4157 -4.6978 -3.1758 -3.6271 6.2514 -1.8309 2.3055 0.4075" Properties=species:S:1:pos:R:3 pbc="T T T"
B -6.7618 -5.2460 -0.7014
P -3.4442 -1.4383 3.5010
P -6.9091 -3.2990 -1.5399
Rb -4.2611 -3.5214 0.7768
B -1.7605 -1.7967 2.2550
B -5.1713 -4.7748 3.7789
B -3.3510 -2.2679 -2.2254
Rb 0.0000 0.0000 0.0000
P -3.3491 -0.5784 -0.9364
P -7.0041 -4.1588 2.8975
```

- formation energy from the elements (meV/atom) = 733
- ΔE to the lowest computed polymorph (meV per atom) = 563
- final energy (eV/atom) = -4.2958



Rb2BP: optimized geometry, PBE-GGA.

```
4
Lattice="-1.1021 -5.4520 -0.4131 -4.0777 -1.7737 -3.3670 1.2525 -2.7511 -4.6875" Properties=species:S:1:pos:R:3 pbc="T T T"
Rb -0.9818 -2.4942 -2.1169
B 0.0000 0.0000 0.0000
P -1.9637 -4.9884 -4.2338
Rb -2.9455 -7.4826 -6.3507
```

- formation energy from the elements (meV/atom) = 1138
- ΔE to the lowest computed polymorph (meV per atom) = 0
- final energy (eV/atom) = -2.3672



Rb2BP: optimized geometry, PBE-GGA.

```
8
Lattice="-4.7027 -0.4517 1.5541 1.6173 -1.1382 4.5632 -1.6705 9.6901 5.7193" Properties=species:S:1:pos:R:3 pbc="T T T"
B -1.5427 -0.7950 3.0587
Rb -3.9761 5.8929 9.5757
P -3.9579 4.2217 5.1660
Rb -0.0631 1.6481 4.4987
Rb -2.3863 6.6548 6.6499
Rb -3.0862 2.0045 2.9489
B -0.7979 3.8784 6.6706
P 0.0000 0.0000 0.0000
```

- formation energy from the elements (meV/atom) = 1396
- ΔE to the lowest computed polymorph (meV per atom) = 258
- final energy (eV/atom) = -2.1092



Rb2BP2: optimized geometry, PBE-GGA.

```
10
Lattice="5.8171 0.0000 0.0000 -2.9086 8.8331 -1.7297 0.0000 -6.7722 8.0577" Properties=species:S:1:pos:R:3 pbc="T T T"
Rb 0.0000 1.3829 2.1326
Rb 2.9086 6.1543 -0.0109
Rb 0.0000 -4.0935 6.3389
B 0.0000 0.6276 5.7763
B 2.9086 1.4332 0.5517
P 0.0000 -0.9814 4.9926
P 2.9086 -0.4889 1.1187
Rb 2.9086 0.6779 4.1954
P 2.9086 3.0422 1.3354
P 0.0000 2.5497 5.2093
```

- formation energy from the elements (meV/atom) = -180
- final energy (eV/atom) = -4.0669



RbB3P3: optimized geometry, PBE-GGA.

```
14
Lattice="5.6261 0.0000 0.0000 2.8131 4.8724 0.0000 2.8131 1.6241 9.4260" Properties=species:S:1:pos:R:3 pbc="T T T"
B 7.4998 3.2456 2.8705
B 6.5652 4.8696 6.5555
P 6.5663 4.8722 2.9369
B 4.6870 1.6268 2.8705
P 7.5026 3.2460 6.4891
P 6.5624 1.6221 2.9369
Rb 5.6261 3.2482 0.0007
P 4.6859 1.6243 6.4891
P 4.6898 4.8744 6.4891
B 4.6915 4.8722 2.8705
B 3.7524 3.2508 6.5555
B 6.5607 1.6242 6.5555
P 3.7497 3.2505 2.9369
Rb 5.6261 3.2482 9.4253
```

- formation energy from the elements (meV/atom) = -78
- final energy (eV/atom) = -5.3964



RbB2P: optimized geometry, PBE-GGA.

```
8
Lattice="4.7122 0.0000 0.0000 0.0000 4.7122 0.0000 2.3561 2.3561 6.1024" Properties=species:S:1:pos:R:3 pbc="T T T"
Rb 0.0000 0.0000 0.0000
P 2.3561 2.3561 0.0000
B 2.3561 1.1780 1.5256
P 2.3561 4.7122 3.0512
Rb 4.7122 2.3561 3.0512
B 3.5341 4.7122 4.5768
B 2.3561 3.5341 1.5256
B 5.8902 4.7122 4.5768
```

- formation energy from the elements (meV/atom) = 773
- final energy (eV/atom) = -4.1601



RbBP2S: optimized geometry, PBE-GGA.

```
5
Lattice="4.2849 0.0000 0.0000 0.0000 4.2849 0.0000 0.0000 0.0000 5.1792" Properties=species:S:1:pos:R:3 pbc="T T T"
S 0.0000 0.0000 2.5896
B 0.0000 0.0000 0.0000
P 0.0000 2.1424 0.0000
Rb 2.1424 2.1424 2.5896
P 2.1424 0.0000 0.0000
```

- ΔE to the lowest computed polymorph (meV per atom) = 0
- final energy (eV/atom) = -3.8111
- formation energy (no corrections) (eV/atom) = 0.707



RbBPS2: optimized geometry, PBE-GGA.

```
5
Lattice="4.8613 0.0000 0.0000 0.0000 4.8613 0.0000 0.0000 0.0000 4.0127" Properties=species:S:1:pos:R:3 pbc="T T T"
S 0.0000 2.4307 0.0000
Rb 2.4307 2.4307 2.0064
P 0.0000 0.0000 2.0064
B 0.0000 0.0000 0.0000
S 2.4307 0.0000 0.0000
```

- ΔE to the lowest computed polymorph (meV per atom) = 111
- final energy (eV/atom) = -3.7786
- formation energy (no corrections) (eV/atom) = 0.483



RbBP2S: optimized geometry, PBE-GGA.

```
5
Lattice="6.5770 0.0000 0.0000 0.0000 6.5770 0.0000 0.0000 0.0000 6.0116" Properties=species:S:1:pos:R:3 pbc="T T T"
Rb 0.0000 0.0000 0.0000
B 3.2885 3.2885 3.0058
P 3.2885 0.0000 0.0000
P 0.0000 3.2885 0.0000
S 0.0000 0.0000 3.0058
```

- ΔE to the lowest computed polymorph (meV per atom) = 1891
- final energy (eV/atom) = -1.9205
- formation energy (no corrections) (eV/atom) = 2.598



RbBPS2: optimized geometry, PBE-GGA.

```
5
Lattice="4.9511 0.0000 0.0000 0.0000 3.9887 0.0000 0.0000 0.0000 4.9511" Properties=species:S:1:pos:R:3 pbc="T T T"
B 0.0000 1.9943 0.0000
P 0.0000 0.0000 0.0000
S 2.4755 0.0000 0.0000
S 0.0000 0.0000 2.4755
Rb 2.4755 1.9943 2.4755
```

- ΔE to the lowest computed polymorph (meV per atom) = 0
- final energy (eV/atom) = -3.8895
- formation energy (no corrections) (eV/atom) = 0.372



| no. | DOS(E_F) (states/eV/cell) |
| --- | --- |
| 1 | 10.86 |
| 2 | 1.35 |
| 3 | 1.69 |
| 4 | 0.00 |
| 5 | 7.74 |
| 6 | 1.73 |
| 7 | 3.14 |
| 8 | 2.31 |
| 9 | 3.87 |
| 10 | 2.84 |
| 11 | 10.17 |
| 12 | 1.64 |